(1)
LiCuPt2 after structural relaxation, computed with PBEsol.

Unit cell a=4.172 b=4.172 c=4.172 alpha=60.00 beta=60.00 gamma=60.00
Fractional positions:
1 Pt 0.250 0.250 0.250
2 Cu 0.000 0.000 0.000
3 Li 0.500 0.500 0.500
4 Pt 0.750 0.750 0.750

Calculated values
Energy above the lowest structure with this stoichiometry: 0.32 eV/f.u.
Energy of formation from the pure elements: -0.260 eV/atom
Symmetry: No. 225

***

(2)
LiCu3Pt after structural relaxation, computed with PBEsol.

Unit cell a=4.665 b=4.665 c=4.665 alpha=90.00 beta=90.00 gamma=90.00
Fractional positions:
1 Li 0.500 0.500 0.500
2 Cu 0.000 0.500 0.000
3 Pt 0.000 0.000 0.000
4 Cu 0.000 0.000 0.500
5 Cu 0.500 0.000 0.000

Calculated values
Energy of formation from the pure elements: 0.673 eV/atom
Symmetry: No. 221

***

(3)
LiCuPt2 after structural relaxation, computed with PBEsol.

Unit cell a=2.666 b=4.311 c=4.731 alpha=90.00 beta=92.09 gamma=90.00
Fractional positions:
1 Pt 0.248 0.000 0.251
2 Cu 0.500 0.500 0.000
3 Pt 0.752 0.000 0.749
4 Li 0.000 0.500 0.500

Calculated values
Energy above the lowest structure with this stoichiometry: 0.18 eV/f.u.
Energy of formation from the pure elements: -0.296 eV/atom
Symmetry: No. 10

***

(4)
LiCuPt2 after structural relaxation, computed with PBEsol.

Unit cell a=2.693 b=2.693 c=8.715 alpha=81.11 beta=81.11 gamma=60.00
Fractional positions:
1 Li 0.000 0.000 0.000
2 Pt 0.750 0.750 0.749
3 Pt 0.250 0.250 0.251
4 Cu 0.500 0.500 0.500

Calculated values
Energy above the lowest structure with this stoichiometry: 0.00 eV/f.u.
Energy of formation from the pure elements: -0.341 eV/atom
Symmetry: No. 166

***

(5)
LiCu4Pt after structural relaxation, computed with PBEsol.

Unit cell a=4.728 b=4.728 c=4.728 alpha=60.00 beta=60.00 gamma=60.00
Fractional positions:
1 Cu 0.375 0.875 0.375
2 Cu 0.375 0.375 0.375
3 Cu 0.875 0.375 0.375
4 Cu 0.375 0.375 0.875
5 Li 0.750 0.750 0.750
6 Pt 0.000 0.000 0.000

Calculated values
Energy of formation from the pure elements: -0.084 eV/atom
Symmetry: No. 216

***

(6)
RbLiCuSn2 after structural relaxation, computed with PBEsol.

Unit cell a=4.646 b=6.020 c=6.020 alpha=90.00 beta=90.00 gamma=90.00
Fractional positions:
1 Cu 0.500 0.500 0.500
2 Sn 0.000 0.000 0.500
3 Rb 0.000 0.000 0.000
4 Li 0.500 0.000 0.000
5 Sn 0.000 0.500 0.000

Calculated values
Energy of formation from the pure elements: 1.451 eV/atom
Symmetry: No. 123